# 1
Density functional theory data (GGA-PBE) for a relaxed structure of LiPm3Cd2.

Values from the calculation:
**Theoretical density**: 6.6 g cm⁻³
**Energy of formation**: -182 meV per atom
**Symmetry**: P4/mmm
**M_tot**: 0.47 μB/f.u.
**Relative energy among the computed polymorphs**: 10 meV/atom

Lattice parameters (Å, degrees): 3.845 3.845 11.340 90.00 90.00 90.00
Fractional coordinates of all 6 atoms:
Li 0.000 0.000 0.000
Pm 0.500 0.500 0.169
Pm 0.500 0.500 0.500
Pm 0.500 0.500 0.831
Cd 0.000 0.000 0.331
Cd 0.000 0.000 0.669

=====

# 2
Density functional theory data (GGA-PBE) for a relaxed structure of Ni4PdPb.

Values from the calculation:
**Theoretical density**: 11.1 g cm⁻³
**Energy of formation**: 104 meV per atom
**Symmetry**: F-43m
**M_tot**: 1.54 μB/f.u.

Lattice parameters (Å, degrees): 4.881 4.881 4.881 60.00 60.00 60.00
Fractional coordinates of all 6 atoms:
Ni 0.124 0.124 0.124
Ni 0.124 0.124 0.627
Ni 0.124 0.627 0.124
Ni 0.627 0.124 0.124
Pd 0.750 0.750 0.750
Pb 0.500 0.500 0.500

=====

# 3
Density functional theory data (GGA-PBE) for a relaxed structure of AlTlCd.

Values from the calculation:
**Theoretical density**: 7.7 g cm⁻³
**Energy of formation**: 155 meV per atom
**Symmetry**: Imma
**M_tot**: 0.00 μB/f.u.

Lattice parameters (Å, degrees): 5.971 5.971 5.971 124.21 117.99 88.19
Fractional coordinates of all 6 atoms:
Al 0.500 0.000 0.000
Al 0.500 0.500 0.500
Tl 0.128 0.378 0.750
Tl 0.872 0.622 0.250
Cd 0.000 0.000 0.000
Cd 0.500 0.000 0.500

=====

# 4
Density functional theory data (GGA-PBE) for a relaxed structure of LaPmAu2O8.

Values from the calculation:
**Theoretical density**: 7.9 g cm⁻³
**Symmetry**: I-4
**ΔE_f (raw)**: -14.04 eV/f.u.
**M_tot**: 4.09 μB/f.u.

Lattice parameters (Å, degrees): 6.642 6.642 6.642 129.45 129.45 74.29
Fractional coordinates of all 12 atoms:
La 0.000 0.000 0.000
Pm 0.750 0.250 0.500
Au 0.250 0.750 0.500
Au 0.500 0.500 0.000
O 0.095 0.038 0.706
O 0.132 0.354 0.564
O 0.332 0.389 0.294
O 0.433 0.868 0.223
O 0.611 0.905 0.944
O 0.646 0.210 0.777
O 0.790 0.567 0.436
O 0.962 0.668 0.056

=====

# 5
Density functional theory data (GGA-PBE) for a relaxed structure of TaPtAu3.

Values from the calculation:
**Theoretical density**: 13.0 g cm⁻³
**Energy of formation**: 1387 meV per atom
**Symmetry**: Pm-3m
**M_tot**: 3.03 μB/f.u.
**Relative energy among the computed polymorphs**: 0 meV/atom

Lattice parameters (Å, degrees): 4.978 4.978 4.978 90.00 90.00 90.00
Fractional coordinates of all 5 atoms:
Ta 0.000 0.000 0.000
Pt 0.500 0.500 0.500
Au 0.000 0.500 0.500
Au 0.500 0.000 0.500
Au 0.500 0.500 0.000

=====

# 6
Density functional theory data (GGA-PBE) for a relaxed structure of Ba2RePb.

Values from the calculation:
**Theoretical density**: 9.1 g cm⁻³
**Energy of formation**: 793 meV per atom
**Symmetry**: I-4m2
**M_tot**: 2.66 μB/f.u.

Lattice parameters (Å, degrees): 5.555 5.555 5.555 119.95 119.95 90.09
Fractional coordinates of all 4 atoms:
Ba 0.000 0.000 0.000
Ba 0.750 0.250 0.500
Re 0.250 0.750 0.500
Pb 0.500 0.500 0.000

=====

# 7
Density functional theory data (GGA-PBE) for a relaxed structure of V4Cr2Rh.

Values from the calculation:
**Theoretical density**: 7.3 g cm⁻³
**Energy of formation**: 26 meV per atom
**Symmetry**: Cmmm
**M_tot**: 0.00 μB/f.u.

Lattice parameters (Å, degrees): 10.504 10.504 2.940 90.00 90.00 163.38
Fractional coordinates of all 7 atoms:
V 0.076 0.924 0.000
V 0.353 0.647 0.500
V 0.647 0.353 0.500
V 0.924 0.076 0.000
Cr 0.210 0.790 0.000
Cr 0.790 0.210 0.000
Rh 0.500 0.500 0.500

=====

# 8
Density functional theory data (GGA-PBE) for a relaxed structure of SmGdThTl.

Values from the calculation:
**Theoretical density**: 10.3 g cm⁻³
**Energy of formation**: 44 meV per atom
**Symmetry**: F-43m
**M_tot**: 7.84 μB/f.u.

Lattice parameters (Å, degrees): 5.529 5.529 5.529 60.00 60.00 60.00
Fractional coordinates of all 4 atoms:
Sm 0.000 0.000 0.000
Gd 0.500 0.500 0.500
Th 0.750 0.750 0.750
Tl 0.250 0.250 0.250

=====

# 9
Density functional theory data (GGA-PBE) for a relaxed structure of Lu2AgHg.

Values from the calculation:
**Theoretical density**: 11.7 g cm⁻³
**Energy of formation**: -408 meV per atom
**Symmetry**: Fm-3m
**M_tot**: 0.00 μB/f.u.
**Relative energy among the computed polymorphs**: 3 meV/atom

Lattice parameters (Å, degrees): 5.099 5.099 5.099 60.00 60.00 60.00
Fractional coordinates of all 4 atoms:
Lu 0.250 0.250 0.250
Lu 0.750 0.750 0.750
Ag 0.000 0.000 0.000
Hg 0.500 0.500 0.500

=====

# 10
Density functional theory data (GGA-PBE) for a relaxed structure of SrZr2Sn2.

Values from the calculation:
**Theoretical density**: 5.6 g cm⁻³
**Energy of formation**: 46 meV per atom
**Symmetry**: I4/mmm
**M_tot**: 0.09 μB/f.u.
**Relative energy among the computed polymorphs**: 433 meV/atom

Lattice parameters (Å, degrees): 7.108 7.108 7.108 139.59 139.59 58.48
Fractional coordinates of all 5 atoms:
Sr 0.000 0.000 0.000
Zr 0.384 0.384 0.000
Zr 0.616 0.616 0.000
Sn 0.250 0.750 0.500
Sn 0.750 0.250 0.500

=====

# 11
Density functional theory data (GGA-PBE) for a relaxed structure of CeErPa2Sb4.

Values from the calculation:
**Theoretical density**: 8.7 g cm⁻³
**Symmetry**: P2/m
**ΔE_f (raw)**: -5.91 eV/f.u.
**M_tot**: 2.84 μB/f.u.

Lattice parameters (Å, degrees): 7.606 4.390 7.647 90.00 109.35 90.00
Fractional coordinates of all 8 atoms:
Ce 0.000 0.000 0.000
Er 0.500 0.500 0.000
Pa 0.000 0.500 0.500
Pa 0.500 0.000 0.500
Sb 0.254 0.000 0.750
Sb 0.256 0.500 0.253
Sb 0.744 0.500 0.747
Sb 0.746 0.000 0.250

=====

# 12
Density functional theory data (GGA-PBE) for a relaxed structure of CeNd2Al.

Values from the calculation:
**Theoretical density**: 6.7 g cm⁻³
**Energy of formation**: 4 meV per atom
**Symmetry**: Fm-3m
**M_tot**: 0.00 μB/f.u.
**Relative energy among the computed polymorphs**: 140 meV/atom

Lattice parameters (Å, degrees): 5.424 5.424 5.424 60.00 60.00 60.00
Fractional coordinates of all 4 atoms:
Ce 0.000 0.000 0.000
Nd 0.250 0.250 0.250
Nd 0.750 0.750 0.750
Al 0.500 0.500 0.500